An optimized crystal structure of Tb6Eu. Source: Alexandria via LeMat-Bulk, functional PBE.

It has space group Im-3m (No. 229), with a = 8.221 Å, b = 8.221 Å, c = 8.221 Å, α = 90.00°, β = 90.00° and γ = 90.00°. The asymmetric unit holds Tb at (0.000, 0.250, 0.500) and Eu at (0.000, 0.000, 0.000).

Its density is 6.61 g/cm3. Its total energy is -4.133 eV per atom. As for the total magnetic moment: 14.068 μB per cell. For the density of states at the Fermi level, the calculation gives 18.585 states/eV/f.u.

An optimized crystal structure of Fe2SiW. Source: Alexandria via LeMat-Bulk, functional PBE.

It has space group R-3m (No. 166, hexagonal axes), with a = 2.7026 Å, b = 2.7026 Å, c = 23.8915 Å, α = 90.00°, β = 90.00° and γ = 120.00°. The asymmetric unit holds Fe at (0.0000, 0.0000, 0.2439), Si at (0.0000, 0.0000, 0.5000) and W at (0.0000, 0.0000, 0.0000).

Its raw formation energy is 0.064 eV/atom. Its density is 10.67 g/cm3. Its total energy is -8.762 eV per atom. As for the total magnetic moment: 5.655 μB per cell. For the density of states at the Fermi level, the calculation gives 3.154 states/eV/f.u.

An optimized crystal structure of Ho4TmSc2. Source: Alexandria via LeMat-Bulk, functional PBE.

It has space group P4/mmm (No. 123), with a = 7.459 Å, b = 7.459 Å, c = 7.807 Å, α = 90.00°, β = 90.00° and γ = 90.00°. The asymmetric unit holds Ho at (0.243, 0.243, 0.232), Tm at (0.500, 0.500, 0.000), Tm at (0.500, 0.500, 0.500), Sc at (0.000, 0.000, 0.000), Sc at (0.000, 0.000, 0.500) and Sc at (0.000, 0.500, 0.500).

Its density is 7.02 g/cm3. Its total energy is -4.755 eV per atom. As for the total magnetic moment: 0.002 μB per cell. For the density of states at the Fermi level, the calculation gives 11.299 states/eV/f.u. The calculation puts the offset from the most stable computed form at 0.161 eV per atom.

An optimized crystal structure of TbDy2Pa. Source: Alexandria via LeMat-Bulk, functional PBE.

It has space group P4/mmm (No. 123), with a = 4.903 Å, b = 4.903 Å, c = 4.922 Å, α = 90.00°, β = 90.00° and γ = 90.00°. The asymmetric unit holds Tb at (0.000, 0.000, 0.000), Dy at (0.000, 0.500, 0.500) and Pa at (0.500, 0.500, 0.000).

Its density is 10.03 g/cm3. Its total energy is -5.615 eV per atom. As for the total magnetic moment: 0.001 μB per cell. For the density of states at the Fermi level, the calculation gives 5.091 states/eV/f.u. The calculation puts the offset from the most stable computed form at 0.103 eV per atom.

An optimized crystal structure of Cs3RbP2S6. Source: Alexandria via LeMat-Bulk, functional PBE.

It has space group P-3m1 (No. 164), with a = 7.6586 Å, b = 7.6586 Å, c = 9.5673 Å, α = 90.00°, β = 90.00° and γ = 120.00°. The asymmetric unit holds Cs at (0.0000, 0.0000, 0.0000), Cs at (0.3333, 0.6667, 0.6509), Rb at (0.0000, 0.0000, 0.5000), P at (0.3333, 0.6667, 0.2255) and S at (0.1850, 0.3701, 0.2801).

Its raw formation energy is -0.815 eV/atom. Its density is 2.52 g/cm3. Its total energy is -4.075 eV per atom. As for the total magnetic moment: 2.009 μB per cell. For the density of states at the Fermi level, the calculation gives 1.066 states/eV/f.u.

An optimized crystal structure of Th2CoHgGe. Source: Alexandria via LeMat-Bulk, functional PBE.

It has space group P2_1/m (No. 11), with a = 7.329 Å, b = 4.285 Å, c = 8.300 Å, α = 90.00°, β = 112.55° and γ = 90.00°. The asymmetric unit holds Th at (0.138, 0.250, 0.345), Th at (0.316, 0.750, 0.042), Co at (0.023, 0.250, 0.933), Hg at (0.413, 0.750, 0.655) and Ge at (0.189, 0.250, 0.732).

Its density is 10.98 g/cm3. Its total energy is -5.772 eV per atom. As for the total magnetic moment: 0.000 μB per cell. For the density of states at the Fermi level, the calculation gives 5.207 states/eV/f.u.